## LiBeReOs (PBE)

Data for a relaxed LiBeReOs crystal.

- energy above the most stable polymorph in this dataset (eV/f.u.) = 0.00
- E_tot (eV per atom) = -7.375

abc: 5.8262 5.8262 5.8262
angles: 90.00 90.00 90.00
Space group F-43m (No. 216)
Unique sites:
Li1 0.0000 0.0000 0.0000 x4
Be1 0.2500 0.2500 0.7500 x4
Re1 0.2500 0.2500 0.2500 x4
Os1 0.0000 0.0000 0.5000 x4

## LiBeReOs (PBE)

Data for a relaxed LiBeReOs crystal.

- energy above the most stable polymorph in this dataset (eV/f.u.) = 2.04
- E_tot (eV per atom) = -6.865

abc: 5.6924 5.6924 5.6924
angles: 90.00 90.00 90.00
Space group F-43m (No. 216)
Unique sites:
Li1 0.0000 0.0000 0.0000 x4
Be1 0.0000 0.0000 0.5000 x4
Re1 0.2500 0.2500 0.7500 x4
Os1 0.2500 0.2500 0.2500 x4

## LiBeTcOs (PBE)

Data for a relaxed LiBeTcOs crystal.

- energy above the most stable polymorph in this dataset (eV/f.u.) = 1.69
- E_tot (eV per atom) = -6.440

abc: 5.6871 5.6871 5.6871
angles: 90.00 90.00 90.00
Space group F-43m (No. 216)
Unique sites:
Li1 0.0000 0.0000 0.0000 x4
Be1 0.0000 0.0000 0.5000 x4
Tc1 0.2500 0.2500 0.7500 x4
Os1 0.2500 0.2500 0.2500 x4

## LiBeTcOs (PBE)

Data for a relaxed LiBeTcOs crystal.

- energy above the most stable polymorph in this dataset (eV/f.u.) = 0.00
- E_tot (eV per atom) = -6.864

abc: 5.8128 5.8128 5.8128
angles: 90.00 90.00 90.00
Space group F-43m (No. 216)
Unique sites:
Li1 0.0000 0.0000 0.0000 x4
Be1 0.2500 0.2500 0.7500 x4
Tc1 0.2500 0.2500 0.2500 x4
Os1 0.0000 0.0000 0.5000 x4

## LiPaBe (PBE)

Data for a relaxed LiPaBe crystal.

- energy above the most stable polymorph in this dataset (eV/f.u.) = 0.00
- E_tot (eV per atom) = -4.309

abc: 6.1729 6.1729 6.1729
angles: 90.00 90.00 90.00
Space group F-43m (No. 216)
Unique sites:
Li1 0.0000 0.0000 0.0000 x4
Pa1 0.0000 0.0000 0.5000 x4
Be1 0.2500 0.2500 0.2500 x4

## LiPaBe (PBE)

Data for a relaxed LiPaBe crystal.

- energy above the most stable polymorph in this dataset (eV/f.u.) = 0.74
- E_tot (eV per atom) = -4.062

abc: 6.0497 6.0497 6.0497
angles: 90.00 90.00 90.00
Space group F-43m (No. 216)
Unique sites:
Li1 0.0000 0.0000 0.0000 x4
Pa1 0.2500 0.2500 0.2500 x4
Be1 0.2500 0.2500 0.7500 x4

## LiBeZnPb (PBE)

Data for a relaxed LiBeZnPb crystal.

- energy above the most stable polymorph in this dataset (eV/f.u.) = 0.00
- E_tot (eV per atom) = -2.447

abc: 6.4192 6.4192 6.4192
angles: 90.00 90.00 90.00
Space group F-43m (No. 216)
Unique sites:
Li1 0.0000 0.0000 0.0000 x4
Be1 0.0000 0.0000 0.5000 x4
Zn1 0.2500 0.2500 0.2500 x4
Pb1 0.2500 0.2500 0.7500 x4

## LiBeZnPb (PBE)

Data for a relaxed LiBeZnPb crystal.

- energy above the most stable polymorph in this dataset (eV/f.u.) = 0.51
- E_tot (eV per atom) = -2.319

abc: 6.5986 6.5986 6.5986
angles: 90.00 90.00 90.00
Space group F-43m (No. 216)
Unique sites:
Li1 0.0000 0.0000 0.0000 x4
Be1 0.2500 0.2500 0.2500 x4
Zn1 0.2500 0.2500 0.7500 x4
Pb1 0.0000 0.0000 0.5000 x4

## LiBe4Pd (PBE)

Data for a relaxed LiBe4Pd crystal.

- E_tot (eV per atom) = -3.979

abc: 6.1302 6.1302 6.1302
angles: 90.00 90.00 90.00
Space group F-43m (No. 216)
Unique sites:
Li1 0.0000 0.0000 0.0000 x4
Be1 0.1247 0.1247 0.6247 x16
Pd1 0.2500 0.2500 0.2500 x4

## Li2BePd (PBE)

Data for a relaxed Li2BePd crystal.

- E_tot (eV per atom) = -3.450

abc: 5.7363 5.7363 5.7363
angles: 90.00 90.00 90.00
Space group F-43m (No. 216)
Unique sites:
Li1 0.0000 0.0000 0.0000 x4
Li2 0.2500 0.2500 0.2500 x4
Be1 0.2500 0.2500 0.7500 x4
Pd1 0.0000 0.0000 0.5000 x4

## LiBePd (PBE)

Data for a relaxed LiBePd crystal.

- energy above the most stable polymorph in this dataset (eV/f.u.) = 0.00
- E_tot (eV per atom) = -3.751

abc: 5.3818 5.3818 5.3818
angles: 90.00 90.00 90.00
Space group F-43m (No. 216)
Unique sites:
Li1 0.0000 0.0000 0.0000 x4
Be1 0.2500 0.2500 0.2500 x4
Pd1 0.0000 0.0000 0.5000 x4

## LiBePt2 (PBE)

Data for a relaxed LiBePt2 crystal.

- E_tot (eV per atom) = -5.125

abc: 2.8631 2.8631 5.8671
angles: 90.00 90.00 90.00
Space group P4/mmm (No. 123)
Unique sites:
Li1 0.0000 0.0000 0.0000 x1
Be1 0.0000 0.0000 0.5000 x1
Pt1 0.5000 0.5000 0.2634 x2

## LiBePt2 (PBE)

Data for a relaxed LiBePt2 crystal.

- E_tot (eV per atom) = -5.037

abc: 5.4832 6.9701 5.3660
angles: 90.00 90.00 90.00
Space group Pnma (No. 62)
Unique sites:
Li1 0.0147 0.2500 0.0479 x4
Be1 0.0740 0.2500 0.5523 x4
Pt1 0.1868 0.5201 0.3122 x8

## LiBe2Pt2 (PBE)

Data for a relaxed LiBe2Pt2 crystal.

- energy above the most stable polymorph in this dataset (eV/f.u.) = 0.00
- E_tot (eV per atom) = -5.042

abc: 6.5983 6.5983 2.7503
angles: 90.00 90.00 90.00
Space group P4/mbm (No. 127)
Unique sites:
Li1 0.0000 0.0000 0.0000 x2
Be1 0.1266 0.3734 0.0000 x4
Pt1 0.1673 0.6673 0.5000 x4

## LiBePt (PBE)

Data for a relaxed LiBePt crystal.

- energy above the most stable polymorph in this dataset (eV/f.u.) = 0.00
- E_tot (eV per atom) = -4.529

abc: 2.7743 13.0815 3.8907
angles: 90.00 90.00 90.00
Space group Cmcm (No. 63)
Unique sites:
Li1 0.0000 0.2263 0.2500 x4
Be1 0.0000 0.4409 0.7500 x4
Pt1 0.0000 0.0915 0.7500 x4

## LiBePt2 (PBE)

Data for a relaxed LiBePt2 crystal.

- E_tot (eV per atom) = -4.852

abc: 3.9657 3.9657 8.3117
angles: 90.00 90.00 120.00
Space group P6_3/mmc (No. 194)
Unique sites:
Li1 0.3333 0.6667 0.2500 x2
Be1 0.0000 0.0000 0.0000 x2
Pt1 0.3333 0.6667 0.5904 x4

## LiBePt2 (PBE)

Data for a relaxed LiBePt2 crystal.

- E_tot (eV per atom) = -5.123

abc: 4.0689 4.0689 2.8708
angles: 90.00 90.00 90.00
Space group P4/mmm (No. 123)
Unique sites:
Li1 0.0000 0.0000 0.0000 x1
Be1 0.5000 0.5000 0.0000 x1
Pt1 0.0000 0.5000 0.5000 x2

## LiBe2Pt2 (PBE)

Data for a relaxed LiBe2Pt2 crystal.

- energy above the most stable polymorph in this dataset (eV/f.u.) = 1.15
- E_tot (eV per atom) = -4.811

abc: 3.4660 3.4660 11.1842
angles: 90.00 90.00 90.00
Space group I4/mmm (No. 139)
Unique sites:
Li1 0.0000 0.0000 0.0000 x2
Be1 0.0000 0.5000 0.2500 x4
Pt1 0.0000 0.0000 0.3804 x4

## LiBePt (PBE)

Data for a relaxed LiBePt crystal.

- energy above the most stable polymorph in this dataset (eV/f.u.) = 0.72
- E_tot (eV per atom) = -4.287

abc: 5.3443 5.3443 5.3443
angles: 90.00 90.00 90.00
Space group F-43m (No. 216)
Unique sites:
Li1 0.0000 0.0000 0.0000 x4
Be1 0.2500 0.2500 0.2500 x4
Pt1 0.0000 0.0000 0.5000 x4

## LiBePt2 (PBE)

Data for a relaxed LiBePt2 crystal.

- E_tot (eV per atom) = -4.748

abc: 4.2457 4.2457 7.1840
angles: 90.00 90.00 120.00
Space group P6_3/mmc (No. 194)
Unique sites:
Li1 0.0000 0.0000 0.2500 x2
Be1 0.3333 0.6667 0.2500 x2
Pt1 0.3333 0.6667 0.5696 x4